(1)
Entry from Alexandria: a crystal of CoMoW2 relaxed with PBEsol (SCAN).

The structure in CIF format:
```
data_CoMoW2
_chemical_formula_sum 'Co1 Mo1 W2'
_cell_length_a 2.637
_cell_length_b 3.875
_cell_length_c 5.640
_cell_angle_alpha 90.00
_cell_angle_beta 90.00
_cell_angle_gamma 90.00
_symmetry_space_group_name_H-M 'P m m 2'
_symmetry_Int_Tables_number 25
loop_
_symmetry_equiv_pos_as_xyz
'x,y,z'
'-x,-y,z'
'-x,y,z'
'x,-y,z'
loop_
_atom_site_label
_atom_site_fract_x
_atom_site_fract_y
_atom_site_fract_z
Co1 0.000 0.000 0.000
Mo1 0.500 0.500 0.235
W1 0.000 0.000 0.500
W2 0.500 0.500 0.770
```

Properties
ΔE to the lowest computed polymorph (eV per atom): 0.019

=====

(2)
Entry from Alexandria: a crystal of Co2MoW relaxed with PBEsol (SCAN).

The structure in CIF format:
```
data_Co2MoW
_chemical_formula_sum 'Co4 Mo2 W2'
_cell_length_a 3.710
_cell_length_b 3.710
_cell_length_c 7.309
_cell_angle_alpha 90.00
_cell_angle_beta 90.00
_cell_angle_gamma 90.00
_symmetry_space_group_name_H-M 'I 4/m m m'
_symmetry_Int_Tables_number 139
_symmetry_space_group_name_Hall '-I 4 2'
loop_
_atom_site_label
_atom_site_fract_x
_atom_site_fract_y
_atom_site_fract_z
Co1 0.000 0.500 0.250
Mo1 0.000 0.000 0.000
W1 0.000 0.000 0.500
```

Properties
ΔE to the lowest computed polymorph (eV per atom): 0.001

=====

(3)
Entry from Alexandria: a crystal of Co2MoW relaxed with PBEsol (SCAN).

The structure in CIF format:
```
data_Co2MoW
_chemical_formula_sum 'Co2 Mo1 W1'
_cell_length_a 3.711
_cell_length_b 3.711
_cell_length_c 3.653
_cell_angle_alpha 90.00
_cell_angle_beta 90.00
_cell_angle_gamma 90.00
_symmetry_space_group_name_H-M 'P 4/m m m'
_symmetry_Int_Tables_number 123
_symmetry_space_group_name_Hall '-P 4 2'
loop_
_atom_site_label
_atom_site_fract_x
_atom_site_fract_y
_atom_site_fract_z
Co1 0.000 0.500 0.000
Mo1 0.000 0.000 0.500
W1 0.500 0.500 0.500
```

Properties
ΔE to the lowest computed polymorph (eV per atom): 0.002

=====

(4)
Entry from Alexandria: a crystal of Co2MoW relaxed with PBEsol (SCAN).

The structure in CIF format:
```
data_Co2MoW
_chemical_formula_sum 'Co8 Mo4 W4'
_cell_length_a 5.903
_cell_length_b 5.903
_cell_length_c 5.903
_cell_angle_alpha 90.00
_cell_angle_beta 90.00
_cell_angle_gamma 90.00
_symmetry_space_group_name_H-M 'F -4 3 m'
_symmetry_Int_Tables_number 216
_symmetry_space_group_name_Hall 'F -4 2 3'
loop_
_atom_site_label
_atom_site_fract_x
_atom_site_fract_y
_atom_site_fract_z
Co1 0.000 0.000 0.000
Co2 0.250 0.250 0.250
Mo1 0.250 0.250 0.750
W1 0.000 0.000 0.500
```

Properties
ΔE to the lowest computed polymorph (eV per atom): 0.260

=====

(5)
Entry from Alexandria: a crystal of Co2MoW relaxed with PBEsol (SCAN).

The structure in CIF format:
```
data_Co2MoW
_chemical_formula_sum 'Co2 Mo1 W1'
_cell_length_a 2.620
_cell_length_b 3.653
_cell_length_c 5.256
_cell_angle_alpha 90.00
_cell_angle_beta 90.00
_cell_angle_gamma 90.00
_symmetry_space_group_name_H-M 'P m m m'
_symmetry_Int_Tables_number 47
loop_
_symmetry_equiv_pos_as_xyz
'x,y,z'
'-x,-y,-z'
'-x,-y,z'
'x,y,-z'
'x,-y,-z'
'-x,y,z'
'-x,y,-z'
'x,-y,z'
loop_
_atom_site_label
_atom_site_fract_x
_atom_site_fract_y
_atom_site_fract_z
Co1 0.000 0.000 0.249
Mo1 0.500 0.500 0.000
W1 0.500 0.500 0.500
```

Properties
ΔE to the lowest computed polymorph (eV per atom): 0.006

=====

(6)
Entry from Alexandria: a crystal of Co2MoW relaxed with PBEsol (SCAN).

The structure in CIF format:
```
data_Co2MoW
_chemical_formula_sum 'Co4 Mo2 W2'
_cell_length_a 5.264
_cell_length_b 7.301
_cell_length_c 2.620
_cell_angle_alpha 90.00
_cell_angle_beta 90.00
_cell_angle_gamma 90.00
_symmetry_space_group_name_H-M 'C m m m'
_symmetry_Int_Tables_number 65
_symmetry_space_group_name_Hall '-C 2 2'
loop_
_atom_site_label
_atom_site_fract_x
_atom_site_fract_y
_atom_site_fract_z
Co1 0.250 0.250 0.000
Mo1 0.000 0.000 0.500
W1 0.000 0.500 0.500
```

Properties
ΔE to the lowest computed polymorph (eV per atom): 0.000

=====

(7)
Entry from Alexandria: a crystal of YCoMo3 relaxed with PBEsol (SCAN).

The structure in CIF format:
```
data_YCoMo3
_chemical_formula_sum 'Y1 Co1 Mo3'
_cell_length_a 4.518
_cell_length_b 4.518
_cell_length_c 4.518
_cell_angle_alpha 90.00
_cell_angle_beta 90.00
_cell_angle_gamma 90.00
_symmetry_space_group_name_H-M 'P m -3 m'
_symmetry_Int_Tables_number 221
_symmetry_space_group_name_Hall '-P 4 2 3'
loop_
_atom_site_label
_atom_site_fract_x
_atom_site_fract_y
_atom_site_fract_z
Y1 0.000 0.000 0.000
Co1 0.500 0.500 0.500
Mo1 0.000 0.500 0.500
```

=====

(8)
Entry from Alexandria: a crystal of ZnCoMo2 relaxed with PBEsol (SCAN).

The structure in CIF format:
```
data_ZnCoMo2
_chemical_formula_sum 'Zn3 Co3 Mo6'
_cell_length_a 2.6892
_cell_length_b 2.6892
_cell_length_c 26.3958
_cell_angle_alpha 90.00
_cell_angle_beta 90.00
_cell_angle_gamma 120.00
_symmetry_space_group_name_H-M 'R 3 m'
_symmetry_Int_Tables_number 160
_symmetry_space_group_name_Hall 'R 3 -2"'
loop_
_atom_site_label
_atom_site_fract_x
_atom_site_fract_y
_atom_site_fract_z
Zn1 0.0000 0.0000 0.0000
Co1 0.0000 0.0000 0.7431
Mo1 0.0000 0.0000 0.2447
Mo2 0.0000 0.0000 0.4859
```

=====

(9)
Entry from Alexandria: a crystal of ZnCoMo2 relaxed with PBEsol (SCAN).

The structure in CIF format:
```
data_ZnCoMo2
_chemical_formula_sum 'Zn3 Co3 Mo6'
_cell_length_a 2.6746
_cell_length_b 2.6746
_cell_length_c 26.5096
_cell_angle_alpha 90.00
_cell_angle_beta 90.00
_cell_angle_gamma 120.00
_symmetry_space_group_name_H-M 'R -3 m'
_symmetry_Int_Tables_number 166
_symmetry_space_group_name_Hall '-R 3 2"'
loop_
_atom_site_label
_atom_site_fract_x
_atom_site_fract_y
_atom_site_fract_z
Zn1 0.0000 0.0000 0.0000
Co1 0.0000 0.0000 0.5000
Mo1 0.0000 0.0000 0.2450
```

=====

(10)
Entry from Alexandria: a crystal of ZnCoMo relaxed with PBEsol (SCAN).

The structure in CIF format:
```
data_ZnCoMo
_chemical_formula_sum 'Zn2 Co2 Mo2'
_cell_length_a 2.692
_cell_length_b 2.692
_cell_length_c 10.497
_cell_angle_alpha 90.00
_cell_angle_beta 90.00
_cell_angle_gamma 90.00
_symmetry_space_group_name_H-M 'I 4 m m'
_symmetry_Int_Tables_number 107
_symmetry_space_group_name_Hall 'I 4 -2'
loop_
_atom_site_label
_atom_site_fract_x
_atom_site_fract_y
_atom_site_fract_z
Zn1 0.000 0.000 0.000
Co1 0.000 0.000 0.347
Mo1 0.000 0.000 0.690
```

Properties
ΔE to the lowest computed polymorph (eV per atom): 0.000

=====

(11)
Entry from Alexandria: a crystal of ZnCoMo2 relaxed with PBEsol (SCAN).

The structure in CIF format:
```
data_ZnCoMo2
_chemical_formula_sum 'Zn1 Co1 Mo2'
_cell_length_a 2.646
_cell_length_b 2.646
_cell_length_c 7.653
_cell_angle_alpha 90.00
_cell_angle_beta 90.00
_cell_angle_gamma 90.00
_symmetry_space_group_name_H-M 'P 4 m m'
_symmetry_Int_Tables_number 99
loop_
_symmetry_equiv_pos_as_xyz
'x,y,z'
'-y,x,z'
'-x,-y,z'
'y,-x,z'
'-x,y,z'
'y,x,z'
'x,-y,z'
'-y,-x,z'
loop_
_atom_site_label
_atom_site_fract_x
_atom_site_fract_y
_atom_site_fract_z
Zn1 0.000 0.000 0.000
Co1 0.500 0.500 0.782
Mo1 0.000 0.000 0.565
Mo2 0.500 0.500 0.268
```

=====

(12)
Entry from Alexandria: a crystal of ZnCoMo2 relaxed with PBEsol (SCAN).

The structure in CIF format:
```
data_ZnCoMo2
_chemical_formula_sum 'Zn1 Co1 Mo2'
_cell_length_a 2.623
_cell_length_b 4.228
_cell_length_c 4.836
_cell_angle_alpha 90.00
_cell_angle_beta 96.27
_cell_angle_gamma 90.00
_symmetry_space_group_name_H-M 'P 1 m 1'
_symmetry_Int_Tables_number 6
loop_
_symmetry_equiv_pos_as_xyz
'x,y,z'
'x,-y,z'
loop_
_atom_site_label
_atom_site_fract_x
_atom_site_fract_y
_atom_site_fract_z
Zn1 0.000 0.000 0.000
Co1 0.988 0.500 0.270
Mo1 0.415 0.500 0.781
Mo2 0.602 0.000 0.482
```

=====

no.,raw total energy (eV per atom),DFT formation energy (eV/atom)
1,-47.484,0.41
2,-34.628,0.17
3,-34.627,0.17
4,-34.369,0.43
5,-34.624,0.17
6,-34.630,0.17
7,-29.032,0.93
8,-24.864,0.28
9,-24.852,0.30
10,-21.803,0.10
11,-25.014,0.13
12,-24.984,0.16